Here is an optimized crystal structure of LiErFeSe3 from OQMD via LeMat-Bulk. Energies are from PBE.

Cell: 3.9377 12.9001 10.6441 Å, 90.00 90.00 90.00°
Last column: nearest neighbours and their distance in Å.
Space group Cmcm (No. 63)
One atom of each set of equivalent atoms:
Li  0.0000  0.2220  0.2500  6 Se 2.88-3.09
Er  0.0000  0.0000  0.0000  6 Se 2.82-2.92
Fe  0.0000  0.4781  0.7500  4 Se 2.41-2.47
Se  0.0000  0.0935  0.7500  2 Fe 2.47
Se  0.0000  0.3568  0.5772  1 Fe 2.41

Calculated values
ρ, Mg/m³: 5.736
DFT total energy, Ry/atom: -0.3882